[1]
## Zn2CuIrO6 (PBE)

Data for an optimized crystal structure of Zn2CuIrO6.

Results
- D(E_F): 0.55 states/eV per atom
- Crystal system: monoclinic
- Formation energy (no corrections): -83.9 kJ/mol of atoms
- Raw total energy: -107.90 eV per cell

Structure (CIF):
```
data_Zn2CuIrO6
_cell_length_a 4.9382
_cell_length_b 4.9966
_cell_length_c 10.2029
_cell_angle_alpha 90.00
_cell_angle_beta 118.66
_cell_angle_gamma 90.00
_space_group_name_H-M_alt 'P 1 21/c 1'
_space_group_IT_number 14
_space_group_name_Hall '-P 2ybc'
loop_
_atom_site_label
_atom_site_fract_x
_atom_site_fract_y
_atom_site_fract_z
_atom_site_occupancy
Zn1 0.2443 0.0321 0.2639 1
Cu1 0.5000 0.0000 0.0000 1
Ir1 0.0000 0.0000 0.5000 1
O1 0.0931 0.2102 0.8862 1
O2 0.2686 0.6946 0.9467 1
O3 0.3428 0.1353 0.6814 1
```


[2]
## ZnCu2IrO6 (PBE)

Data for an optimized crystal structure of ZnCu2IrO6.

Results
- D(E_F): 0.68 states/eV per atom
- Crystal system: trigonal
- Formation energy (no corrections): -67.1 kJ/mol of atoms
- Raw total energy: -165.10 eV per cell

Structure (CIF):
```
data_ZnCu2IrO6
_cell_length_a 5.1493
_cell_length_b 5.1493
_cell_length_c 13.7665
_cell_angle_alpha 90.00
_cell_angle_beta 90.00
_cell_angle_gamma 120.00
_space_group_name_H-M_alt 'R 3'
_space_group_IT_number 146
_space_group_name_Hall 'R 3'
loop_
_atom_site_label
_atom_site_fract_x
_atom_site_fract_y
_atom_site_fract_z
_atom_site_occupancy
Zn1 0.0000 0.0000 0.0000 1
Cu1 0.0000 0.0000 0.2092 1
Cu2 0.0000 0.0000 0.7242 1
Ir1 0.0000 0.0000 0.5213 1
O1 0.0106 0.3588 0.7851 1
O2 0.0428 0.6818 0.2804 1
```


[3]
## ZrCuIrO6 (PBE)

Data for an optimized crystal structure of ZrCuIrO6.

Results
- D(E_F): 0.73 states/eV per atom
- Crystal system: trigonal
- Formation energy (no corrections): -128.7 kJ/mol of atoms
- Raw total energy: -126.53 eV per cell

Structure (CIF):
```
data_ZrCuIrO6
_cell_length_a 5.2224
_cell_length_b 5.2224
_cell_length_c 8.8388
_cell_angle_alpha 90.00
_cell_angle_beta 90.00
_cell_angle_gamma 120.00
_space_group_name_H-M_alt 'P -3 1 c'
_space_group_IT_number 163
_space_group_name_Hall '-P 3 2c'
loop_
_atom_site_label
_atom_site_fract_x
_atom_site_fract_y
_atom_site_fract_z
_atom_site_occupancy
Zr1 0.3333 0.6667 0.2500 1
Cu1 0.0000 0.0000 0.0000 1
Ir1 0.3333 0.6667 0.7500 1
O1 0.0210 0.3542 0.6262 1
```


[4]
## Cu2IrOs (PBE)

Data for an optimized crystal structure of Cu2IrOs.

Results
- D(E_F): 0.76 states/eV per atom
- Crystal system: tetragonal
- ΔE_f: 115 meV/atom
- Raw total energy: -27.82 eV per cell

Structure (CIF):
```
data_Cu2IrOs
_cell_length_a 2.7386
_cell_length_b 2.7386
_cell_length_c 7.1190
_cell_angle_alpha 90.00
_cell_angle_beta 90.00
_cell_angle_gamma 90.00
_space_group_name_H-M_alt 'P 4 m m'
_space_group_IT_number 99
_space_group_name_Hall 'P 4 -2'
loop_
_atom_site_label
_atom_site_fract_x
_atom_site_fract_y
_atom_site_fract_z
_atom_site_occupancy
Cu1 0.0000 0.0000 0.0000 1
Cu2 0.5000 0.5000 0.2280 1
Ir1 0.0000 0.0000 0.4900 1
Os1 0.5000 0.5000 0.7410 1
```